# 1
! Ac6SiTe2Se3, optimized geometry, DFT PBE; values from VASP
&SYSTEM
  ibrav = 0, nat = 12, ntyp = 4
/
ATOMIC_SPECIES
Ac 227.00 Ac.upf
Si 28.09 Si.upf
Te 127.60 Te.upf
Se 78.96 Se.upf
ATOMIC_POSITIONS crystal
Ac 0.085 0.397 0.757
Ac 0.225 0.225 0.242
Ac 0.397 0.085 0.757
Ac 0.603 0.915 0.243
Ac 0.775 0.775 0.758
Ac 0.915 0.603 0.243
Si 0.000 0.000 0.500
Te 0.334 0.666 0.500
Te 0.666 0.334 0.500
Se 0.173 0.827 0.000
Se 0.500 0.500 0.000
Se 0.827 0.173 0.000
CELL_PARAMETERS angstrom
3.999 -6.920 0.000
3.999 6.920 0.000
-2.656 0.000 7.407
! Formation energy without anion corrections ... -1.57 eV/atom
! Space-group type ... No. 12
! Crystal system ... monoclinic


# 2
! Al2Cr2Sn, optimized geometry, DFT PBE; values from VASP
&SYSTEM
  ibrav = 0, nat = 10, ntyp = 3
/
ATOMIC_SPECIES
Al 26.98 Al.upf
Cr 52.00 Cr.upf
Sn 118.71 Sn.upf
ATOMIC_POSITIONS crystal
Al 0.123 0.377 0.000
Al 0.377 0.877 0.000
Al 0.623 0.123 0.000
Al 0.877 0.623 0.000
Cr 0.172 0.672 0.500
Cr 0.328 0.172 0.500
Cr 0.672 0.828 0.500
Cr 0.828 0.328 0.500
Sn 0.000 0.000 0.000
Sn 0.500 0.500 0.000
CELL_PARAMETERS angstrom
7.558 0.000 0.000
0.000 7.558 0.000
0.000 0.000 2.991
! Relative energy among the computed polymorphs ... 0.225 eV/f.u.
! Space-group type ... No. 127
! Crystal system ... tetragonal
! DFT formation energy ... 0.21 eV per atom


# 3
! TaGaIr, optimized geometry, DFT PBE; values from VASP
&SYSTEM
  ibrav = 0, nat = 3, ntyp = 3
/
ATOMIC_SPECIES
Ta 180.95 Ta.upf
Ga 69.72 Ga.upf
Ir 192.22 Ir.upf
ATOMIC_POSITIONS crystal
Ta 0.000 0.000 0.000
Ga 0.333 0.667 0.500
Ir 0.667 0.333 0.500
CELL_PARAMETERS angstrom
4.357 0.000 0.000
-2.178 3.773 0.000
0.000 0.000 2.862
! Space-group type ... No. 187
! Crystal system ... hexagonal
! DFT formation energy ... -0.52 eV per atom


# 4
! GeSeBr2, optimized geometry, DFT PBE; values from VASP
&SYSTEM
  ibrav = 0, nat = 8, ntyp = 3
/
ATOMIC_SPECIES
Ge 72.64 Ge.upf
Se 78.96 Se.upf
Br 79.90 Br.upf
ATOMIC_POSITIONS crystal
Ge 0.000 0.000 0.000
Ge 0.408 0.373 0.919
Se 0.365 0.066 0.907
Se 0.785 0.397 0.849
Br 0.219 0.685 0.689
Br 0.332 0.428 0.193
Br 0.757 0.490 0.525
Br 0.905 0.122 0.255
CELL_PARAMETERS angstrom
6.543 0.000 0.000
1.836 6.909 0.000
0.661 3.102 7.209
! Formation energy without anion corrections ... -0.34 eV/atom
! Relative energy among the computed polymorphs ... 0.558 eV/f.u.
! Space-group type ... No. 1
! Crystal system ... triclinic


- Which formula does entry 3 have?
  TaGaIr